(1)
# CuRuAu2 (GGA-PBE, optimized geometry)
# Energy of formation   0.3738 eV per atom
# Electronic total energy   -4.608 eV per atom
data_CuRuAu2
_cell_length_a 6.351
_cell_length_b 6.351
_cell_length_c 6.351
_cell_angle_alpha 90.00
_cell_angle_beta 90.00
_cell_angle_gamma 90.00
_symmetry_space_group_name_H-M 'F m -3 m'
_symmetry_Int_Tables_number 225
_symmetry_space_group_name_Hall '-F 4 2 3'
loop_
_atom_site_label
_atom_site_type_symbol
_atom_site_fract_x
_atom_site_fract_y
_atom_site_fract_z
Cu1 Cu 0.000 0.000 0.000
Ru1 Ru 0.000 0.000 0.500
Au1 Au 0.250 0.250 0.250

(2)
# CuRu2Au (GGA-PBE, optimized geometry)
# Energy of formation   0.2832 eV per atom
# Electronic total energy   -6.198 eV per atom
data_CuRu2Au
_cell_length_a 8.897
_cell_length_b 2.748
_cell_length_c 4.855
_cell_angle_alpha 90.00
_cell_angle_beta 99.18
_cell_angle_gamma 90.00
_symmetry_space_group_name_H-M 'C 1 m 1'
_symmetry_Int_Tables_number 8
loop_
_symmetry_equiv_pos_as_xyz
'x,y,z'
'x,-y,z'
'x+1/2,y+1/2,z'
'x+1/2,-y+1/2,z'
loop_
_atom_site_label
_atom_site_type_symbol
_atom_site_fract_x
_atom_site_fract_y
_atom_site_fract_z
Cu1 Cu 0.000 0.000 0.000
Ru1 Ru 0.250 0.500 0.285
Ru2 Ru 0.494 0.000 0.465
Au1 Au 0.249 0.000 0.783

(3)
# CuRu2Au (GGA-PBE, optimized geometry)
# Energy of formation   0.4043 eV per atom
# Electronic total energy   -6.077 eV per atom
data_CuRu2Au
_cell_length_a 2.7399
_cell_length_b 2.7399
_cell_length_c 27.0105
_cell_angle_alpha 90.00
_cell_angle_beta 90.00
_cell_angle_gamma 120.00
_symmetry_space_group_name_H-M 'R -3 m'
_symmetry_Int_Tables_number 166
_symmetry_space_group_name_Hall '-R 3 2"'
loop_
_atom_site_label
_atom_site_type_symbol
_atom_site_fract_x
_atom_site_fract_y
_atom_site_fract_z
Cu1 Cu 0.0000 0.0000 0.0000
Ru1 Ru 0.0000 0.0000 0.2557
Au1 Au 0.0000 0.0000 0.5000

(4)
# CuRu2Au (GGA-PBE, optimized geometry)
# Energy of formation   0.5060 eV per atom
# Electronic total energy   -5.975 eV per atom
data_CuRu2Au
_cell_length_a 2.760
_cell_length_b 4.627
_cell_length_c 9.398
_cell_angle_alpha 90.00
_cell_angle_beta 90.00
_cell_angle_gamma 90.00
_symmetry_space_group_name_H-M 'C m m m'
_symmetry_Int_Tables_number 65
_symmetry_space_group_name_Hall '-C 2 2'
loop_
_atom_site_label
_atom_site_type_symbol
_atom_site_fract_x
_atom_site_fract_y
_atom_site_fract_z
Cu1 Cu 0.000 0.000 0.000
Ru1 Ru 0.000 0.500 0.233
Au1 Au 0.000 0.000 0.500

What did the third record say?
# CuRu2Au (GGA-PBE, optimized geometry)
# Energy of formation   0.4043 eV per atom
# Electronic total energy   -6.077 eV per atom
data_CuRu2Au
_cell_length_a 2.7399
_cell_length_b 2.7399
_cell_length_c 27.0105
_cell_angle_alpha 90.00
_cell_angle_beta 90.00
_cell_angle_gamma 120.00
_symmetry_space_group_name_H-M 'R -3 m'
_symmetry_Int_Tables_number 166
_symmetry_space_group_name_Hall '-R 3 2"'
loop_
_atom_site_label
_atom_site_type_symbol
_atom_site_fract_x
_atom_site_fract_y
_atom_site_fract_z
Cu1 Cu 0.0000 0.0000 0.0000
Ru1 Ru 0.0000 0.0000 0.2557
Au1 Au 0.0000 0.0000 0.5000

- Look up the energy of formation of the second one.
  0.2832 eV per atom

- Which of these has the lowest electronic total energy?
  number 2